# DyHo2NiSn3Ir2 (PBE-GGA, relaxed)
# - SG = Amm2, No. 38
# - total moment (Bohr magnetons per cell) = 0.0
# - electronic total energy (eV per cell) = -56.2
# - volume (Å³ per cell) = 185.7
data_DyHo2NiSn3Ir2
_chemical_formula_sum 'Dy1 Ho2 Ni1 Sn3 Ir2'
_cell_length_a 3.774
_cell_length_b 7.539
_cell_length_c 7.539
_cell_angle_alpha 120.06
_cell_angle_beta 90.00
_cell_angle_gamma 90.00
_symmetry_space_group_name_H-M 'P 1'
_symmetry_Int_Tables_number 1
loop_
_symmetry_equiv_pos_as_xyz
'x,y,z'
loop_
_atom_site_label
_atom_site_type_symbol
_atom_site_fract_x
_atom_site_fract_y
_atom_site_fract_z
_atom_site_occupancy
Ho1 Ho 0.000 0.593 0.000 1
Ho2 Ho 0.000 0.000 0.593 1
Sn1 Sn 0.500 0.000 0.256 1
Sn2 Sn 0.500 0.256 0.000 1
Sn3 Sn 0.500 0.745 0.745 1
Dy1 Dy 0.000 0.407 0.407 1
Ni1 Ni 0.000 0.000 0.000 1
Ir1 Ir 0.500 0.333 0.667 1
Ir2 Ir 0.500 0.667 0.333 1

=====

# NaAlSiPd (PBE-GGA, relaxed)
# - SG = F-43m, No. 216
# - electronic total energy (eV per cell) = -15.9
# - volume (Å³ per cell) = 64.9
# - E above lowest polymorph (meV per atom) = 49
data_NaAlSiPd
_chemical_formula_sum 'Na1 Al1 Si1 Pd1'
_cell_length_a 4.512
_cell_length_b 4.512
_cell_length_c 4.512
_cell_angle_alpha 60.00
_cell_angle_beta 60.00
_cell_angle_gamma 60.00
_symmetry_space_group_name_H-M 'P 1'
_symmetry_Int_Tables_number 1
loop_
_symmetry_equiv_pos_as_xyz
'x,y,z'
loop_
_atom_site_label
_atom_site_type_symbol
_atom_site_fract_x
_atom_site_fract_y
_atom_site_fract_z
_atom_site_occupancy
Si1 Si 0.000 0.000 0.000 1
Al1 Al 0.250 0.250 0.250 1
Na1 Na 0.750 0.750 0.750 1
Pd1 Pd 0.500 0.500 0.500 1

=====

# CsGdCoSe3 (PBE-GGA, relaxed)
# - SG = Pnma, No. 62
# - total moment (Bohr magnetons per cell) = 8.5
# - electronic total energy (eV per cell) = -120.5
# - volume (Å³ per cell) = 739.8
# - E above lowest polymorph (meV per atom) = 2
data_CsGdCoSe3
_chemical_formula_sum 'Cs4 Gd4 Co4 Se12'
_cell_length_a 16.419
_cell_length_b 4.081
_cell_length_c 11.043
_cell_angle_alpha 90.00
_cell_angle_beta 90.00
_cell_angle_gamma 90.00
_symmetry_space_group_name_H-M 'P 1'
_symmetry_Int_Tables_number 1
loop_
_symmetry_equiv_pos_as_xyz
'x,y,z'
loop_
_atom_site_label
_atom_site_type_symbol
_atom_site_fract_x
_atom_site_fract_y
_atom_site_fract_z
_atom_site_occupancy
Se1 Se 0.120 0.750 0.234 1
Se2 Se 0.566 0.750 0.609 1
Se3 Se 0.934 0.250 0.109 1
Se4 Se 0.593 0.250 0.921 1
Se5 Se 0.093 0.250 0.579 1
Se6 Se 0.407 0.750 0.079 1
Se7 Se 0.907 0.750 0.421 1
Se8 Se 0.066 0.750 0.891 1
Se9 Se 0.880 0.250 0.766 1
Se10 Se 0.620 0.750 0.266 1
Se11 Se 0.380 0.250 0.734 1
Se12 Se 0.434 0.250 0.391 1
Cs1 Cs 0.765 0.750 0.986 1
Cs2 Cs 0.265 0.750 0.514 1
Cs3 Cs 0.735 0.250 0.486 1
Cs4 Cs 0.235 0.250 0.014 1
Gd1 Gd 0.021 0.250 0.345 1
Gd2 Gd 0.979 0.750 0.655 1
Gd3 Gd 0.479 0.750 0.845 1
Gd4 Gd 0.521 0.250 0.155 1
Co1 Co 0.489 0.250 0.585 1
Co2 Co 0.989 0.250 0.915 1
Co3 Co 0.011 0.750 0.085 1
Co4 Co 0.511 0.750 0.415 1

=====

# HfMgRe2 (PBE-GGA, relaxed)
# - SG = F-43m, No. 216
# - total moment (Bohr magnetons per cell) = 0.0
# - electronic total energy (eV per cell) = -35.7
# - volume (Å³ per cell) = 66.5
data_HfMgRe2
_chemical_formula_sum 'Hf1 Mg1 Re2'
_cell_length_a 4.548
_cell_length_b 4.548
_cell_length_c 4.548
_cell_angle_alpha 60.00
_cell_angle_beta 60.00
_cell_angle_gamma 60.00
_symmetry_space_group_name_H-M 'P 1'
_symmetry_Int_Tables_number 1
loop_
_symmetry_equiv_pos_as_xyz
'x,y,z'
loop_
_atom_site_label
_atom_site_type_symbol
_atom_site_fract_x
_atom_site_fract_y
_atom_site_fract_z
_atom_site_occupancy
Re1 Re 0.000 0.000 0.000 1
Re2 Re 0.750 0.750 0.750 1
Mg1 Mg 0.500 0.500 0.500 1
Hf1 Hf 0.250 0.250 0.250 1

=====

# LaErGa2I2 (PBE-GGA, relaxed)
# - SG = P3m1, No. 156
# - total moment (Bohr magnetons per cell) = 0.0
# - electronic total energy (eV per cell) = -25.0
# - volume (Å³ per cell) = 195.9
data_LaErGa2I2
_chemical_formula_sum 'La1 Er1 Ga2 I2'
_cell_length_a 4.274
_cell_length_b 4.274
_cell_length_c 12.386
_cell_angle_alpha 90.00
_cell_angle_beta 90.00
_cell_angle_gamma 120.00
_symmetry_space_group_name_H-M 'P 1'
_symmetry_Int_Tables_number 1
loop_
_symmetry_equiv_pos_as_xyz
'x,y,z'
loop_
_atom_site_label
_atom_site_type_symbol
_atom_site_fract_x
_atom_site_fract_y
_atom_site_fract_z
_atom_site_occupancy
I1 I 0.667 0.333 0.841 1
I2 I 0.333 0.667 0.176 1
Ga1 Ga 0.333 0.667 0.519 1
Ga2 Ga 0.667 0.333 0.465 1
La1 La 0.000 0.000 0.667 1
Er1 Er 0.000 0.000 0.333 1

=====

# SrTm2P2H4O10 (PBE-GGA, relaxed)
# - SG = C2/m, No. 12
# - total moment (Bohr magnetons per cell) = 0.5
# - electronic total energy (eV per cell) = -124.7
# - volume (Å³ per cell) = 203.6
data_SrTm2P2H4O10
_chemical_formula_sum 'Sr1 Tm2 P2 H4 O10'
_cell_length_a 5.524
_cell_length_b 5.524
_cell_length_c 7.906
_cell_angle_alpha 110.02
_cell_angle_beta 110.02
_cell_angle_gamma 67.88
_symmetry_space_group_name_H-M 'P 1'
_symmetry_Int_Tables_number 1
loop_
_symmetry_equiv_pos_as_xyz
'x,y,z'
loop_
_atom_site_label
_atom_site_type_symbol
_atom_site_fract_x
_atom_site_fract_y
_atom_site_fract_z
_atom_site_occupancy
O1 O 0.321 0.729 0.237 1
O2 O 0.167 0.167 0.670 1
O3 O 0.662 0.662 0.654 1
O4 O 0.338 0.338 0.346 1
O5 O 0.721 0.721 0.989 1
O6 O 0.271 0.679 0.763 1
O7 O 0.833 0.833 0.330 1
O8 O 0.279 0.279 0.011 1
O9 O 0.679 0.271 0.763 1
O10 O 0.729 0.321 0.237 1
Sr1 Sr 0.000 0.000 0.000 1
H1 H 0.231 0.231 0.815 1
H2 H 0.052 0.052 0.651 1
H3 H 0.769 0.769 0.185 1
H4 H 0.948 0.948 0.349 1
P1 P 0.583 0.583 0.797 1
P2 P 0.417 0.417 0.203 1
Tm1 Tm 0.500 0.000 0.500 1
Tm2 Tm 0.000 0.500 0.500 1